This record from Alexandria describes an optimized crystal structure of Pa2CdAuO8. The functional is GGA-PBE.

Geometry as POSCAR:
```
Pa2CdAuO8
1.0
5.9798 0.0000 0.0000
-2.9899 5.1786 0.0000
0.0000 0.0000 5.7909
Pa Cd Au O
2 1 1 8
Direct
0.3333 0.6667 0.3847
0.6667 0.3333 0.6153
0.0000 0.0000 0.0000
0.0000 0.0000 0.5000
0.0582 0.3413 0.6712
0.2831 0.9418 0.6712
0.3333 0.6667 0.0616
0.3413 0.2831 0.3288
0.6587 0.7169 0.6712
0.6667 0.3333 0.9384
0.7169 0.0582 0.3288
0.9418 0.6587 0.3288
```

formation energy without anion corrections = -1767 meV per atom
DOS at the Fermi energy = 6.37 states/eV/cell
space group = P-3 (147)
total magnetic moment = 1.06 μB per formula unit


This record from Alexandria describes an optimized crystal structure of PaCdAu2O8. The functional is GGA-PBE.

Geometry as POSCAR:
```
PaCdAu2O8
1.0
-3.5415 3.5415 3.5760
3.5415 -3.5415 3.5760
3.5415 3.5415 -3.5760
Pa Cd Au O
1 1 2 8
Direct
0.0000 0.0000 0.0000
0.2500 0.7500 0.5000
0.5000 0.5000 0.0000
0.7500 0.2500 0.5000
0.2782 0.1081 0.8299
0.2782 0.4482 0.1701
0.3495 0.0343 0.3152
0.5518 0.7218 0.8299
0.7191 0.0343 0.6848
0.8919 0.7218 0.1701
0.9657 0.2809 0.3152
0.9657 0.6505 0.6848
```

formation energy without anion corrections = -830 meV per atom
DOS at the Fermi energy = 6.50 states/eV/cell
space group = I-4m2 (119)
total magnetic moment = 0.57 μB per formula unit


This record from Alexandria describes an optimized crystal structure of PaCd2AuO6. The functional is GGA-PBE.

Geometry as POSCAR:
```
PaCd2AuO6
1.0
5.8252 0.0000 0.0000
0.0000 5.8252 0.0000
0.0000 0.0000 4.5316
Pa Cd Au O
1 2 1 6
Direct
0.0000 0.0000 0.0000
0.0000 0.5000 0.4108
0.5000 0.0000 0.4108
0.5000 0.5000 0.0326
0.0000 0.0000 0.5216
0.2549 0.2549 0.0602
0.2549 0.7451 0.0602
0.5000 0.5000 0.5345
0.7451 0.2549 0.0602
0.7451 0.7451 0.0602
```

formation energy without anion corrections = -1268 meV per atom
DOS at the Fermi energy = 1.93 states/eV/cell
space group = P4mm (99)
total magnetic moment = 0.00 μB per formula unit


This record from Alexandria describes an optimized crystal structure of Cd2PdAuO4. The functional is GGA-PBE.

Geometry as POSCAR:
```
Cd2PdAuO4
1.0
5.8806 0.0000 0.0000
0.0000 5.8806 0.0000
0.0000 0.0000 6.4599
Cd Pd Au O
4 2 2 8
Direct
0.0000 0.0000 0.0000
0.0000 0.5000 0.2500
0.5000 0.0000 0.7500
0.5000 0.5000 0.5000
0.0000 0.0000 0.5000
0.5000 0.5000 0.0000
0.0000 0.5000 0.7500
0.5000 0.0000 0.2500
0.2324 0.2424 0.4181
0.2424 0.7676 0.5819
0.2576 0.7324 0.0819
0.2676 0.2576 0.9181
0.7324 0.7424 0.9181
0.7424 0.2676 0.0819
0.7576 0.2324 0.5819
0.7676 0.7576 0.4181
```

formation energy without anion corrections = -305 meV per atom
DOS at the Fermi energy = 10.95 states/eV/cell
space group = I-4 (82)
total magnetic moment = 0.00 μB per formula unit


This record from Alexandria describes an optimized crystal structure of CdPdAuO4. The functional is GGA-PBE.

Geometry as POSCAR:
```
CdPdAuO4
1.0
-3.0910 3.1411 5.1482
3.0910 -3.1411 5.1482
3.0910 3.1411 -5.1482
Cd Pd Au O
2 2 2 8
Direct
0.3503 0.1003 0.2500
0.6497 0.8997 0.7500
0.0000 0.0000 0.5000
0.0000 0.5000 0.0000
0.0000 0.5000 0.5000
0.5000 0.5000 0.0000
0.1941 0.2293 0.9648
0.2027 0.2374 0.5347
0.2027 0.6680 0.9653
0.2355 0.7707 0.4648
0.7645 0.2293 0.5352
0.7973 0.3320 0.0347
0.7973 0.7626 0.4653
0.8059 0.7707 0.0352
```

formation energy without anion corrections = -362 meV per atom
DOS at the Fermi energy = 4.64 states/eV/cell
space group = Imma (74)
total magnetic moment = 0.00 μB per formula unit


This record from Alexandria describes an optimized crystal structure of Cd2Pd2AuO6. The functional is GGA-PBE.

Geometry as POSCAR:
```
Cd2Pd2AuO6
1.0
2.8782 -5.0893 0.0000
2.8782 5.0893 0.0000
-1.7017 0.0000 5.3522
Cd Pd Au O
2 2 1 6
Direct
0.1699 0.8301 0.0000
0.8301 0.1699 0.0000
0.3484 0.6516 0.5000
0.6516 0.3484 0.5000
0.0000 0.0000 0.5000
0.0032 0.5863 0.2846
0.2628 0.2628 0.3064
0.4137 0.9968 0.7154
0.5863 0.0032 0.2846
0.7372 0.7372 0.6936
0.9968 0.4137 0.7154
```

formation energy without anion corrections = -365 meV per atom
DOS at the Fermi energy = 7.26 states/eV/cell
space group = C2/m (12)
total magnetic moment = 0.00 μB per formula unit


This record from Alexandria describes an optimized crystal structure of PmCdAuO4. The functional is GGA-PBE.

Geometry as POSCAR:
```
PmCdAuO4
1.0
-3.2144 3.6374 4.8777
3.2144 -3.6374 4.8777
3.2144 3.6374 -4.8777
Pm Cd Au O
2 2 2 8
Direct
0.0000 0.0000 0.0000
0.5000 0.0000 0.5000
0.4356 0.6856 0.7500
0.5644 0.3144 0.2500
0.0000 0.0000 0.5000
0.0000 0.5000 0.0000
0.1690 0.2421 0.9270
0.1849 0.7579 0.4270
0.3232 0.2832 0.4599
0.3232 0.8633 0.0401
0.6768 0.1367 0.9599
0.6768 0.7168 0.5401
0.8151 0.2421 0.5730
0.8310 0.7579 0.0730
```

formation energy without anion corrections = -1408 meV per atom
DOS at the Fermi energy = 2.76 states/eV/cell
space group = Imma (74)
total magnetic moment = 0.00 μB per formula unit


This record from Alexandria describes an optimized crystal structure of PuCdAu2O8. The functional is GGA-PBE.

Geometry as POSCAR:
```
PuCdAu2O8
1.0
-3.4196 3.4196 3.7113
3.4196 -3.4196 3.7113
3.4196 3.4196 -3.7113
Pu Cd Au O
1 1 2 8
Direct
0.0000 0.0000 0.0000
0.7500 0.2500 0.5000
0.2500 0.7500 0.5000
0.5000 0.5000 0.0000
0.0284 0.3112 0.2828
0.0284 0.7456 0.7172
0.1151 0.2862 0.8288
0.2544 0.9716 0.2828
0.4574 0.2862 0.1712
0.6888 0.9716 0.7172
0.7138 0.5426 0.8288
0.7138 0.8849 0.1712
```

formation energy without anion corrections = -667 meV per atom
space group = I-4m2 (119)
total magnetic moment = 0.00 μB per formula unit


This record from Alexandria describes an optimized crystal structure of PuCdAuO6. The functional is GGA-PBE.

Geometry as POSCAR:
```
PuCdAuO6
1.0
5.4534 0.0000 0.0000
-2.7267 4.7228 0.0000
0.0000 0.0000 9.9426
Pu Cd Au O
2 2 2 12
Direct
0.3333 0.6667 0.2500
0.6667 0.3333 0.7500
0.0000 0.0000 0.0000
0.0000 0.0000 0.5000
0.3333 0.6667 0.7500
0.6667 0.3333 0.2500
0.0190 0.3590 0.1348
0.0190 0.6599 0.3652
0.3401 0.3590 0.3652
0.3401 0.9810 0.1348
0.3590 0.0190 0.6348
0.3590 0.3401 0.8652
0.6410 0.6599 0.1348
0.6410 0.9810 0.3652
0.6599 0.0190 0.8652
0.6599 0.6410 0.6348
0.9810 0.3401 0.6348
0.9810 0.6410 0.8652
```

formation energy without anion corrections = -1225 meV per atom
DOS at the Fermi energy = 3.36 states/eV/cell
space group = P-31c (163)
total magnetic moment = 3.07 μB per formula unit


This record from Alexandria describes an optimized crystal structure of Rb6Cd2AuO. The functional is GGA-PBE.

Geometry as POSCAR:
```
Rb6Cd2AuO
1.0
8.7676 0.0000 0.0000
0.0000 8.7396 0.0000
-8.7462 0.0000 12.4249
Rb Cd Au O
12 4 2 2
Direct
0.1999 0.0016 0.2246
0.1999 0.4984 0.7246
0.2176 0.2423 0.0113
0.2176 0.2577 0.5113
0.2550 0.7072 0.5135
0.2550 0.7928 0.0135
0.7450 0.2072 0.9865
0.7450 0.2928 0.4865
0.7824 0.7423 0.4887
0.7824 0.7577 0.9887
0.8001 0.5016 0.2754
0.8001 0.9984 0.7754
0.2522 0.5111 0.2504
0.2522 0.9889 0.7504
0.7478 0.0111 0.2496
0.7478 0.4889 0.7496
0.5000 0.0000 0.5000
0.5000 0.5000 0.0000
0.0000 0.0000 0.0000
0.0000 0.5000 0.5000
```

formation energy without anion corrections = -302 meV per atom
DOS at the Fermi energy = 16.17 states/eV/cell
space group = P2_1/c (14)
total magnetic moment = 0.89 μB per formula unit


This record from Alexandria describes an optimized crystal structure of Rb2CdAuO. The functional is GGA-PBE.

Geometry as POSCAR:
```
Rb2CdAuO
1.0
5.9488 0.0000 0.0000
0.0000 5.9488 0.0000
0.0000 0.0000 4.4354
Rb Cd Au O
2 1 1 1
Direct
0.0000 0.5000 0.0000
0.5000 0.0000 0.0000
0.0000 0.0000 0.5000
0.5000 0.5000 0.5000
0.0000 0.0000 0.0000
```

formation energy without anion corrections = -556 meV per atom
DOS at the Fermi energy = 0.97 states/eV/cell
space group = P4/mmm (123)
total magnetic moment = 0.00 μB per formula unit
energy relative to the lowest polymorph listed for this composition = 90.0 meV per atom